# DyScNi

A geometry-optimized DyScNi structure (PBE, Alexandria).

The calculation puts the size of the total moment at 0.000 μB per cell. For the energy above the most stable polymorph in this dataset, the calculation gives 3.7 kJ per mole of atoms. For the energy relative to the elements, the calculation gives -0.261 eV per atom.

a b c (Å): 6.2989 6.2989 6.2989
angles (deg): 149.51 149.51 43.67
Positions (direct):
1 Dy 0.0000 0.0000 0.0000
2 Sc 0.2677 0.2677 0.0000
3 Ni 0.6506 0.6506 0.0000



# DyScNi2

A geometry-optimized DyScNi2 structure (PBE, Alexandria).

The calculation puts the size of the total moment at 0.000 μB per cell. For the energy above the most stable polymorph in this dataset, the calculation gives 0.0 kJ per mole of atoms. For the energy relative to the elements, the calculation gives -0.454 eV per atom.

a b c (Å): 3.6047 4.1206 5.2603
angles (deg): 90.00 110.14 90.00
Positions (direct):
1 Dy 0.0000 0.0000 0.0000
2 Sc 0.2799 0.5000 0.5602
3 Ni 0.5747 0.5000 0.1497
4 Ni 0.7196 0.0000 0.4405



# Dy3ScNi8

A geometry-optimized Dy3ScNi8 structure (PBE, Alexandria).

The calculation puts the size of the total moment at 0.000 μB per cell. For the energy relative to the elements, the calculation gives -0.463 eV per atom.

a b c (Å): 8.7140 8.7140 8.7140
angles (deg): 33.46 33.46 33.46
Positions (direct):
1 Dy 0.0000 0.0000 0.0000
2 Dy 0.1260 0.1260 0.1260
3 Dy 0.6214 0.6214 0.6214
4 Sc 0.4977 0.4977 0.4977
5 Ni 0.0603 0.0603 0.5603
6 Ni 0.0603 0.5603 0.0603
7 Ni 0.0643 0.5619 0.5619
8 Ni 0.3114 0.3114 0.3114
9 Ni 0.5603 0.0603 0.0603
10 Ni 0.5619 0.0643 0.5619
11 Ni 0.5619 0.5619 0.0643
12 Ni 0.8117 0.8117 0.8117



# DyScNi

A geometry-optimized DyScNi structure (PBE, Alexandria).

The calculation puts the size of the total moment at 0.000 μB per cell. For the energy above the most stable polymorph in this dataset, the calculation gives 0.0 kJ per mole of atoms. For the energy relative to the elements, the calculation gives -0.300 eV per atom.

a b c (Å): 3.4398 6.3202 6.7257
angles (deg): 110.20 104.79 90.10
Positions (direct):
1 Dy 0.2134 0.2293 0.4252
2 Dy 0.7866 0.7707 0.5748
3 Sc 0.4797 0.2427 0.9608
4 Sc 0.5203 0.7573 0.0392
5 Ni 0.1090 0.5628 0.2191
6 Ni 0.8910 0.4372 0.7809



# DyScNi

A geometry-optimized DyScNi structure (PBE, Alexandria).

The calculation puts the size of the total moment at 0.000 μB per cell. For the energy above the most stable polymorph in this dataset, the calculation gives 13.3 kJ per mole of atoms. For the energy relative to the elements, the calculation gives -0.162 eV per atom.

a b c (Å): 4.5881 4.5881 4.5881
angles (deg): 60.00 60.00 60.00
Positions (direct):
1 Dy 0.0000 0.0000 0.0000
2 Sc 0.5000 0.5000 0.5000
3 Ni 0.7500 0.7500 0.7500



# Dy4Sc3Ni2

A geometry-optimized Dy4Sc3Ni2 structure (PBE, Alexandria).

The calculation puts the size of the total moment at 0.000 μB per cell. For the energy relative to the elements, the calculation gives -0.183 eV per atom.

a b c (Å): 8.2226 8.2226 8.6018
angles (deg): 112.80 112.80 24.39
Positions (direct):
1 Dy 0.1259 0.1259 0.3877
2 Dy 0.2676 0.2676 0.8415
3 Dy 0.7324 0.7324 0.1585
4 Dy 0.8741 0.8741 0.6123
5 Sc 0.4337 0.4337 0.3130
6 Sc 0.5000 0.5000 0.0000
7 Sc 0.5663 0.5663 0.6870
8 Ni 0.1118 0.1118 0.9336
9 Ni 0.8882 0.8882 0.0664